Entry 1:
{"formula": "La5SiS4", "functional": "GGA-PBE", "state": "relaxed", "lattice": [[5.3574, 0.0000, 2.5840], [2.6787, 6.6661, 1.2920], [-0.2173, 0.0000, 7.2962]], "species": ["La", "Si", "La", "S", "S", "La", "S", "La", "La", "S"], "fractional_positions": [[0.9007, 0.4006, 0.7999], [0.0013, 0.0000, 0.0000], [0.7006, 0.2001, 0.4006], [0.1998, 0.1994, 0.4029], [0.8021, 0.8006, 0.5971], [0.5013, 0.0000, 0.0000], [0.3993, 0.4029, 0.8006], [0.3013, 0.7999, 0.5994], [0.1013, 0.5994, 0.2001], [0.6027, 0.5971, 0.1994]], "raw_formation_energy_ev_per_atom": -1.89}

***

Entry 2:
{"formula": "SnBiI2", "functional": "GGA-PBE", "state": "relaxed", "lattice": [[1.8360, -0.4231, 5.3826], [-0.0770, 4.5727, 3.4068], [-3.7211, 0.2805, 4.3124]], "species": ["Bi", "Sn", "I", "I"], "fractional_positions": [[0.5000, 0.5000, 0.5000], [0.0000, 0.0000, 0.0000], [0.2500, 0.2500, 0.2500], [0.7500, 0.7500, 0.7500]], "raw_formation_energy_ev_per_atom": 0.17, "de_polymorph_ev_per_atom": 0.1873}

***

Entry 3:
{"formula": "ErNpU2P4", "functional": "GGA-PBE", "state": "relaxed", "lattice": [[3.9099, 0.0000, 0.0000], [0.0000, 6.8866, 0.1590], [0.0000, -2.3670, 6.3669]], "species": ["P", "P", "Np", "Er", "U", "U", "P", "P"], "fractional_positions": [[0.0000, 0.7508, 0.2532], [0.5000, 0.2516, 0.2524], [0.0000, 0.0000, 0.0000], [0.5000, 0.5000, 0.0000], [0.5000, 0.0000, 0.5000], [0.0000, 0.5000, 0.5000], [0.0000, 0.2492, 0.7468], [0.5000, 0.7484, 0.7476]], "formation_energy_mev_per_atom": -1083}

***

Entry 4:
{"formula": "VFeIrOs", "functional": "GGA-PBE", "state": "relaxed", "lattice": [[3.6571, 0.0000, 0.0000], [0.0000, 3.7971, 0.0000], [0.0000, 0.0000, 3.8339]], "species": ["V", "Fe", "Ir", "Os"], "fractional_positions": [[0.0000, 0.5000, 0.5000], [0.0000, 0.0000, 0.0000], [0.5000, 0.5000, 0.0000], [0.5000, 0.0000, 0.5000]], "formation_energy_mev_per_atom": -225}

***

Taking the records one at a time from the top gives density values of 5.3 7.4 9.6 15.3 g cm⁻³.